Crystalline CsCeCr2O8 at its relaxed geometry, computed with GGA+U.

Summary:
Total energy   -7.02 eV per atom
Space group   No. 12

Geometry as extended XYZ:
```
12
Lattice="4.867 -2.958 0.000 4.867 2.958 0.000 -0.624 0.000 8.814" Properties=species:S:1:pos:R:3 pbc="T T T"
Cs 0.000 0.000 0.000
Ce -0.312 0.000 4.407
Cr 3.098 0.000 6.306
Cr 6.011 0.000 2.509
O 1.750 0.000 5.265
O 4.025 1.396 5.992
O 5.084 1.396 2.822
O 2.590 0.000 7.853
O 6.519 0.000 0.961
O 4.025 -1.396 5.992
O 5.084 -1.396 2.822
O 7.359 0.000 3.549
```